First-principles (PBE) data for an optimized crystal structure of Mg2TePt, as listed in the Alexandria database.

Unit cell a=4.608 b=4.608 c=3.737 alpha=90.00 beta=90.00 gamma=90.00
Space group P4/mmm (No. 123)
Symmetry-distinct sites (fractional):
1 Mg 0.000 0.500 0.000
2 Te 0.000 0.000 0.500
3 Pt 0.500 0.500 0.500

Results
**Energy relative to the elements, uncorrected**: -479 meV per atom